The following is a DFT calculation (PBE-GGA) of a relaxed structure of Ca2HRh.

a b c (Å): 3.2985 3.2985 7.0557
angles (deg): 90.00 90.00 90.00
Closest atoms and distances in Å follow each position.
Fractional coordinates of all 4 atoms:
Ca (0.0000, 0.0000, 0.2461)  4 Rh 2.91, 4 H 2.94
Ca (0.0000, 0.0000, 0.7539)  4 Rh 2.91, 4 H 2.94
H (0.5000, 0.5000, 0.5000)  8 Ca 2.94
Rh (0.5000, 0.5000, 0.0000)  8 Ca 2.91

Summary:
M_tot = 0.0000 μB/atom
Excess energy over the best structure of this formula in the dataset = 0.12 eV/f.u.

The following is a DFT calculation (PBE-GGA) of a relaxed structure of FeP4Pb.

a b c (Å): 5.3303 5.3303 5.3303
angles (deg): 60.00 60.00 60.00
Closest atoms and distances in Å follow each position.
Fractional coordinates of all 6 atoms:
Fe (0.0000, 0.0000, 0.0000)  12 P 3.10, 4 Pb 3.26
P (0.0902, 0.6366, 0.6366)  3 P 2.42
P (0.6366, 0.0902, 0.6366)  3 P 2.42
P (0.6366, 0.6366, 0.0902)  3 P 2.42
P (0.6366, 0.6366, 0.6366)  3 P 2.42
Pb (0.2500, 0.2500, 0.2500)  12 P 3.16, 4 Fe 3.26

Summary:
E_form = 0.7376 eV/atom
M_tot = 0.4622 μB/atom

The following is a DFT calculation (PBE-GGA) of a relaxed structure of TaCr2Mo.

a b c (Å): 3.0635 4.3407 8.6391
angles (deg): 90.00 90.00 90.00
Closest atoms and distances in Å follow each position.
Fractional coordinates of all 8 atoms:
Ta (0.0000, 0.0000, 0.0000)  6 Cr 2.66-2.67, 2 Mo 2.72
Ta (0.5000, 0.5000, 0.5000)  6 Cr 2.66-2.67, 2 Mo 2.72
Cr (0.0000, 0.0000, 0.4938)  2 Cr 2.58, 2 Mo 2.62, 4 Ta 2.66
Cr (0.0000, 0.5000, 0.7537)  2 Cr 2.58, 4 Mo 2.66, 2 Ta 2.67
Cr (0.5000, 0.0000, 0.2537)  2 Cr 2.58, 4 Mo 2.66, 2 Ta 2.67
Cr (0.5000, 0.5000, 0.9938)  2 Cr 2.58, 2 Mo 2.62, 4 Ta 2.66
Mo (0.0000, 0.5000, 0.2397)  6 Cr 2.62-2.66, 2 Ta 2.72
Mo (0.5000, 0.0000, 0.7397)  6 Cr 2.62-2.66, 2 Ta 2.72

Summary:
E_form = 0.0099 eV/atom
M_tot = 0.0000 μB/atom
Excess energy over the best structure of this formula in the dataset = 0.12 eV/f.u.

The following is a DFT calculation (PBE-GGA) of a relaxed structure of KSr6.

a b c (Å): 10.5404 10.5404 10.5404
angles (deg): 118.31 118.31 118.31
Closest atoms and distances in Å follow each position.
Fractional coordinates of all 7 atoms:
K (0.0000, 0.0000, 0.0000)  2 K 4.15, 6 Sr 4.23
Sr (0.1344, 0.2787, 0.5686)  7 Sr 4.11-4.25, 1 K 4.23
Sr (0.2787, 0.5686, 0.1344)  7 Sr 4.11-4.25, 1 K 4.23
Sr (0.4314, 0.8656, 0.7213)  7 Sr 4.11-4.25, 1 K 4.23
Sr (0.5686, 0.1344, 0.2787)  7 Sr 4.11-4.25, 1 K 4.23
Sr (0.7213, 0.4314, 0.8656)  7 Sr 4.11-4.25, 1 K 4.23
Sr (0.8656, 0.7213, 0.4314)  7 Sr 4.11-4.25, 1 K 4.23

Summary:
E_form = 0.0457 eV/atom
M_tot = 0.0000 μB/atom
Excess energy over the best structure of this formula in the dataset = 0.00 eV/f.u.

The following is a DFT calculation (PBE-GGA) of a relaxed structure of Be2SiPb.

a b c (Å): 6.4464 3.7330 6.1199
angles (deg): 90.00 110.67 90.00
Closest atoms and distances in Å follow each position.
Fractional coordinates of all 8 atoms:
Be (0.1977, 0.0000, 0.0939)  3 Si 2.22, 3 Be 2.40-2.41
Be (0.3023, 0.5000, 0.9061)  3 Si 2.22, 3 Be 2.40-2.41
Be (0.6977, 0.5000, 0.0939)  3 Si 2.22, 3 Be 2.40-2.41
Be (0.8023, 0.0000, 0.9061)  3 Si 2.22, 3 Be 2.40-2.41
Si (0.0000, 0.5000, 0.0000)  6 Be 2.22
Si (0.5000, 0.0000, 0.0000)  6 Be 2.22
Pb (0.0000, 0.0000, 0.5000)  8 Be 3.17-3.40
Pb (0.5000, 0.5000, 0.5000)  8 Be 3.17-3.40

Summary:
ΔE_f (raw) = 0.36 eV per atom
M_tot = 0.0000 μB/atom
Excess energy over the best structure of this formula in the dataset = 0.43 eV/f.u.

The following is a DFT calculation (PBE-GGA) of a relaxed structure of Pm2NiC2N6.

a b c (Å): 5.6831 5.6831 5.8000
angles (deg): 114.27 114.27 49.57
Closest atoms and distances in Å follow each position.
Fractional coordinates of all 11 atoms:
Pm (0.2004, 0.2004, 0.2067)  7 N 2.43-2.62
Pm (0.7996, 0.7996, 0.7933)  7 N 2.43-2.62
Ni (0.0000, 0.0000, 0.5000)  4 N 1.90
C (0.4837, 0.4837, 0.7372)  3 N 1.32-1.37
C (0.5163, 0.5163, 0.2628)  3 N 1.32-1.37
N (0.1955, 0.6717, 0.2231)  1 C 1.37
N (0.3283, 0.8045, 0.7769)  1 C 1.37
N (0.3438, 0.3438, 0.6746)  1 C 1.32
N (0.6562, 0.6562, 0.3254)  1 C 1.32
N (0.6717, 0.1955, 0.2231)  1 C 1.37
N (0.8045, 0.3283, 0.7769)  1 C 1.37

Summary:
ΔE_f (raw) = -0.41 eV per atom
M_tot = 0.0564 μB/atom

The following is a DFT calculation (PBE-GGA) of a relaxed structure of TaSb3O.

a b c (Å): 4.6698 4.6698 4.6698
angles (deg): 90.00 90.00 90.00
Closest atoms and distances in Å follow each position.
Fractional coordinates of all 5 atoms:
Ta (0.0000, 0.0000, 0.0000)  12 Sb 3.30
Sb (0.0000, 0.5000, 0.5000)  2 O 2.33
Sb (0.5000, 0.0000, 0.5000)  2 O 2.33
Sb (0.5000, 0.5000, 0.0000)  2 O 2.33
O (0.5000, 0.5000, 0.5000)  6 Sb 2.33

Summary:
ΔE_f (raw) = 0.24 eV per atom
M_tot = 0.1643 μB/atom
Excess energy over the best structure of this formula in the dataset = 0.00 eV/f.u.

The following is a DFT calculation (PBE-GGA) of a relaxed structure of PmZrIn2.

a b c (Å): 3.3772 3.3772 31.4970
angles (deg): 90.00 90.00 120.00
Closest atoms and distances in Å follow each position.
Fractional coordinates of all 12 atoms:
Pm (0.0000, 0.0000, 0.0000)  6 Pm 3.38, 6 In 3.39
Pm (0.3333, 0.6667, 0.6667)  6 Pm 3.38, 6 In 3.39
Pm (0.6667, 0.3333, 0.3333)  6 Pm 3.38, 6 In 3.39
Zr (0.0000, 0.0000, 0.5000)  6 In 3.15, 6 Zr 3.38
Zr (0.3333, 0.6667, 0.1667)  6 In 3.15, 6 Zr 3.38
Zr (0.6667, 0.3333, 0.8333)  6 In 3.15, 6 Zr 3.38
In (0.0000, 0.0000, 0.2452)  3 Zr 3.15, 6 In 3.38, 3 Pm 3.39
In (0.0000, 0.0000, 0.7548)  3 Zr 3.15, 6 In 3.38, 3 Pm 3.39
In (0.3333, 0.6667, 0.4214)  3 Zr 3.15, 6 In 3.38, 3 Pm 3.39
In (0.3333, 0.6667, 0.9119)  3 Zr 3.15, 6 In 3.38, 3 Pm 3.39
In (0.6667, 0.3333, 0.0881)  3 Zr 3.15, 6 In 3.38, 3 Pm 3.39
In (0.6667, 0.3333, 0.5786)  3 Zr 3.15, 6 In 3.38, 3 Pm 3.39

Summary:
E_form = -0.1694 eV/atom
M_tot = 0.0000 μB/atom

The following is a DFT calculation (PBE-GGA) of a relaxed structure of Pm2InTe.

a b c (Å): 4.2817 4.2817 24.0435
angles (deg): 90.00 90.00 120.00
Closest atoms and distances in Å follow each position.
Fractional coordinates of all 12 atoms:
Pm (0.0000, 0.0000, 0.2483)  3 Te 3.16, 3 In 3.21
Pm (0.0000, 0.0000, 0.7517)  3 Te 3.16, 3 In 3.21
Pm (0.3333, 0.6667, 0.4183)  3 Te 3.16, 3 In 3.21
Pm (0.3333, 0.6667, 0.9150)  3 Te 3.16, 3 In 3.21
Pm (0.6667, 0.3333, 0.0850)  3 Te 3.16, 3 In 3.21
Pm (0.6667, 0.3333, 0.5817)  3 Te 3.16, 3 In 3.21
In (0.0000, 0.0000, 0.0000)  6 Pm 3.21
In (0.3333, 0.6667, 0.6667)  6 Pm 3.21
In (0.6667, 0.3333, 0.3333)  6 Pm 3.21
Te (0.0000, 0.0000, 0.5000)  6 Pm 3.16
Te (0.3333, 0.6667, 0.1667)  6 Pm 3.16
Te (0.6667, 0.3333, 0.8333)  6 Pm 3.16

Summary:
ΔE_f (raw) = -0.90 eV per atom
M_tot = 0.0000 μB/atom
Excess energy over the best structure of this formula in the dataset = 0.30 eV/f.u.

The following is a DFT calculation (PBE-GGA) of a relaxed structure of HoEr2Pb.

a b c (Å): 4.8273 4.8273 4.8165
angles (deg): 90.00 90.00 90.00
Closest atoms and distances in Å follow each position.
Fractional coordinates of all 4 atoms:
Ho (0.0000, 0.0000, 0.0000)  8 Er 3.41, 4 Pb 3.41
Er (0.0000, 0.5000, 0.5000)  4 Pb 3.41, 4 Ho 3.41, 4 Er 3.41
Er (0.5000, 0.0000, 0.5000)  4 Pb 3.41, 4 Ho 3.41, 4 Er 3.41
Pb (0.5000, 0.5000, 0.0000)  8 Er 3.41, 4 Ho 3.41

Summary:
E_form = -0.2576 eV/atom
M_tot = 0.0968 μB/atom
Excess energy over the best structure of this formula in the dataset = 0.08 eV/f.u.

The following is a DFT calculation (PBE-GGA) of a relaxed structure of AgB2Pt.

a b c (Å): 5.0176 5.0176 9.6356
angles (deg): 90.00 90.00 90.00
Closest atoms and distances in Å follow each position.
Fractional coordinates of all 16 atoms:
Ag (0.0000, 0.0000, 0.0000)  4 B 2.26
Ag (0.0000, 0.5000, 0.2500)  4 B 2.26
Ag (0.5000, 0.0000, 0.7500)  4 B 2.26
Ag (0.5000, 0.5000, 0.5000)  4 B 2.26
B (0.2121, 0.2500, 0.6250)  2 Pt 2.04, 2 Ag 2.26
B (0.2500, 0.7121, 0.8750)  2 Pt 2.04, 2 Ag 2.26
B (0.2500, 0.7879, 0.3750)  2 Pt 2.04, 2 Ag 2.26
B (0.2879, 0.2500, 0.1250)  2 Pt 2.04, 2 Ag 2.26
B (0.7121, 0.7500, 0.1250)  2 Pt 2.04, 2 Ag 2.26
B (0.7500, 0.2121, 0.3750)  2 Pt 2.04, 2 Ag 2.26
B (0.7500, 0.2879, 0.8750)  2 Pt 2.04, 2 Ag 2.26
B (0.7879, 0.7500, 0.6250)  2 Pt 2.04, 2 Ag 2.26
Pt (0.0000, 0.0000, 0.5000)  4 B 2.04
Pt (0.0000, 0.5000, 0.7500)  4 B 2.04
Pt (0.5000, 0.0000, 0.2500)  4 B 2.04
Pt (0.5000, 0.5000, 0.0000)  4 B 2.04

Summary:
E_form = 0.6163 eV/atom
M_tot = 0.0000 μB/atom
Excess energy over the best structure of this formula in the dataset = 0.00 eV/f.u.

The following is a DFT calculation (PBE-GGA) of a relaxed structure of Sr3TmHg4.

a b c (Å): 3.8680 3.8680 15.9892
angles (deg): 90.00 90.00 90.00
Closest atoms and distances in Å follow each position.
Fractional coordinates of all 8 atoms:
Sr (0.0000, 0.0000, 0.0000)  8 Hg 3.44
Sr (0.0000, 0.0000, 0.2605)  8 Hg 3.44-3.48, 1 Tm 3.83
Sr (0.0000, 0.0000, 0.7395)  8 Hg 3.44-3.48, 1 Tm 3.83
Tm (0.0000, 0.0000, 0.5000)  8 Hg 3.21
Hg (0.5000, 0.5000, 0.1304)  8 Sr 3.44
Hg (0.5000, 0.5000, 0.3954)  4 Tm 3.21, 1 Hg 3.35, 4 Sr 3.48
Hg (0.5000, 0.5000, 0.6046)  4 Tm 3.21, 1 Hg 3.35, 4 Sr 3.48
Hg (0.5000, 0.5000, 0.8696)  8 Sr 3.44

Summary:
E_form = -0.5062 eV/atom
M_tot = 0.0000 μB/atom

The following is a DFT calculation (PBE-GGA) of a relaxed structure of PaMnSeS2.

a b c (Å): 7.2063 3.8286 8.3568
angles (deg): 90.00 111.46 90.00
Closest atoms and distances in Å follow each position.
Fractional coordinates of all 10 atoms:
Pa (0.2309, 0.2500, 0.2265)  5 S 2.73-2.89, 2 Se 2.96
Pa (0.7691, 0.7500, 0.7735)  5 S 2.73-2.89, 2 Se 2.96
Mn (0.1904, 0.7500, 0.6820)  4 S 2.47-2.56, 2 Se 2.68
Mn (0.8096, 0.2500, 0.3180)  4 S 2.47-2.56, 2 Se 2.68
Se (0.4330, 0.2500, 0.6465)  2 Mn 2.68, 2 Pa 2.96
Se (0.5670, 0.7500, 0.3535)  2 Mn 2.68, 2 Pa 2.96
S (0.0593, 0.7500, 0.3596)  3 Mn 2.51-2.56, 2 Pa 2.73
S (0.1905, 0.7500, 0.9776)  1 Mn 2.47, 2 Pa 2.76
S (0.8095, 0.2500, 0.0224)  1 Mn 2.47, 2 Pa 2.76
S (0.9407, 0.2500, 0.6404)  3 Mn 2.51-2.56, 2 Pa 2.73

Summary:
ΔE_f (raw) = -1.13 eV per atom
M_tot = 0.7971 μB/atom

The following is a DFT calculation (PBE-GGA) of a relaxed structure of TmCuRh.

a b c (Å): 3.4013 3.4013 8.9443
angles (deg): 90.00 90.00 90.00
Closest atoms and distances in Å follow each position.
Fractional coordinates of all 6 atoms:
Tm (0.0000, 0.0000, 0.0000)  5 Cu 2.84-2.91, 5 Rh 2.86-2.92
Tm (0.5000, 0.5000, 0.5000)  5 Cu 2.84-2.91, 5 Rh 2.86-2.92
Cu (0.0000, 0.0000, 0.6827)  4 Rh 2.73, 5 Tm 2.84-2.91
Cu (0.5000, 0.5000, 0.1827)  4 Rh 2.73, 5 Tm 2.84-2.91
Rh (0.0000, 0.0000, 0.3267)  4 Cu 2.73, 5 Tm 2.86-2.92
Rh (0.5000, 0.5000, 0.8267)  4 Cu 2.73, 5 Tm 2.86-2.92

Summary:
E_form = -0.4707 eV/atom
M_tot = 0.0000 μB/atom
Excess energy over the best structure of this formula in the dataset = 0.40 eV/f.u.

The following is a DFT calculation (PBE-GGA) of a relaxed structure of GdBeO3.

a b c (Å): 3.6083 3.6083 3.6083
angles (deg): 90.00 90.00 90.00
Closest atoms and distances in Å follow each position.
Fractional coordinates of all 5 atoms:
Gd (0.0000, 0.0000, 0.0000)  12 O 2.55
Be (0.5000, 0.5000, 0.5000)  6 O 1.80
O (0.0000, 0.5000, 0.5000)  2 Be 1.80
O (0.5000, 0.0000, 0.5000)  2 Be 1.80
O (0.5000, 0.5000, 0.0000)  2 Be 1.80

Summary:
ΔE_f (raw) = -2.44 eV per atom
M_tot = 1.5556 μB/atom

The following is a DFT calculation (PBE-GGA) of a relaxed structure of Cu2PPd4.

a b c (Å): 5.5764 6.2652 6.9189
angles (deg): 104.01 113.47 101.19
Closest atoms and distances in Å follow each position.
Fractional coordinates of all 14 atoms:
Cu (0.0000, 0.0000, 0.0000)  3 Cu 2.55-2.81, 7 Pd 2.56-2.78
Cu (0.1750, 0.0109, 0.4040)  1 P 2.29, 1 Cu 2.55, 1 Pd 2.56
Cu (0.5055, 0.9681, 0.0210)  7 Pd 2.57-2.82, 3 Cu 2.71-2.81
Cu (0.7131, 0.6364, 0.1386)  6 Pd 2.62-2.86, 2 Cu 2.70-2.71, 1 P 2.89
P (0.2825, 0.6766, 0.4079)  1 Cu 2.29, 6 Pd 2.29-2.48
P (0.8336, 0.3865, 0.6238)  8 Pd 2.30-2.57
Pd (0.0543, 0.7549, 0.6353)  2 P 2.36-2.41, 1 Cu 2.62
Pd (0.1520, 0.6426, 0.0398)  2 P 2.29-2.57
Pd (0.1925, 0.2462, 0.7934)  1 P 2.34
Pd (0.4511, 0.3583, 0.2833)  2 P 2.40-2.48, 2 Cu 2.64-2.68
Pd (0.5732, 0.6283, 0.7271)  2 P 2.29-2.46
Pd (0.6562, 0.9609, 0.4321)  2 P 2.38-2.46, 2 Cu 2.64-2.67
Pd (0.6910, 0.2339, 0.8457)  1 P 2.30, 2 Cu 2.56-2.57
Pd (0.9577, 0.3236, 0.3218)  2 P 2.34-2.42, 1 Cu 2.56

Summary:
E_form = -0.2568 eV/atom
M_tot = 0.0000 μB/atom
Excess energy over the best structure of this formula in the dataset = 0.00 eV/f.u.

The following is a DFT calculation (PBE-GGA) of a relaxed structure of K2YTc.

a b c (Å): 21.4398 3.4243 4.4568
angles (deg): 90.00 101.77 90.00
Closest atoms and distances in Å follow each position.
Fractional coordinates of all 8 atoms:
K (0.1532, 0.0000, 0.1496)  2 K 3.42, 2 Tc 3.64
K (0.3468, 0.5000, 0.8504)  2 K 3.42, 2 Tc 3.64
K (0.6532, 0.5000, 0.1496)  2 K 3.42, 2 Tc 3.64
K (0.8468, 0.0000, 0.8504)  2 K 3.42, 2 Tc 3.64
Y (0.0000, 0.0000, 0.5000)  4 Tc 2.81
Y (0.5000, 0.5000, 0.5000)  4 Tc 2.81
Tc (0.0000, 0.5000, 0.0000)  4 Y 2.81
Tc (0.5000, 0.0000, 0.0000)  4 Y 2.81

Summary:
E_form = 0.6132 eV/atom
M_tot = 0.2957 μB/atom
Excess energy over the best structure of this formula in the dataset = 0.04 eV/f.u.

The following is a DFT calculation (PBE-GGA) of a relaxed structure of LaYBr6.

a b c (Å): 7.1803 13.0516 7.1718
angles (deg): 90.00 106.34 90.00
Closest atoms and distances in Å follow each position.
Fractional coordinates of all 16 atoms:
La (0.0000, 0.0000, 0.0000)  6 Br 2.93-2.97
La (0.5000, 0.5000, 0.0000)  6 Br 2.93-2.97
Y (0.0000, 0.5000, 0.5000)  6 Br 2.81-2.82
Y (0.5000, 0.0000, 0.5000)  6 Br 2.81-2.82
Br (0.2364, 0.3517, 0.7405)  1 Y 2.82, 1 La 2.97
Br (0.2364, 0.6483, 0.7405)  1 Y 2.82, 1 La 2.97
Br (0.2483, 0.5000, 0.2588)  1 Y 2.81, 1 La 2.93
Br (0.2517, 0.0000, 0.7412)  1 Y 2.81, 1 La 2.93
Br (0.2636, 0.1483, 0.2595)  1 Y 2.82, 1 La 2.97
Br (0.2636, 0.8517, 0.2595)  1 Y 2.82, 1 La 2.97
Br (0.7364, 0.1483, 0.7405)  1 Y 2.82, 1 La 2.97
Br (0.7364, 0.8517, 0.7405)  1 Y 2.82, 1 La 2.97
Br (0.7483, 0.0000, 0.2588)  1 Y 2.81, 1 La 2.93
Br (0.7517, 0.5000, 0.7412)  1 Y 2.81, 1 La 2.93
Br (0.7636, 0.3517, 0.2595)  1 Y 2.82, 1 La 2.97
Br (0.7636, 0.6483, 0.2595)  1 Y 2.82, 1 La 2.97

Summary:
ΔE_f (raw) = -1.90 eV per atom
M_tot = 0.0000 μB/atom
Excess energy over the best structure of this formula in the dataset = 0.00 eV/f.u.